VASP calculation (PBE) on a geometry-optimized Pm4Pr3Mg structure. Values from VASP.

```
&SYSTEM
  ibrav = 0, nat = 16, ntyp = 3
/
ATOMIC_SPECIES
Pr 140.91 Pr.upf
Mg 24.30 Mg.upf
Pm 145.00 Pm.upf
ATOMIC_POSITIONS angstrom
Pr -4.374 -10.049 0.049
Pr -5.263 -4.362 -1.755
Pr -6.936 -1.341 -0.810
Pr -3.573 -4.736 6.319
Pr -1.845 -7.736 5.410
Pr -2.674 -2.434 3.728
Mg -6.055 -6.860 0.844
Mg -4.352 0.755 4.524
Pm -1.399 -8.978 1.961
Pm -6.461 -5.810 4.354
Pm -2.288 -3.290 0.157
Pm -7.140 -0.306 2.553
Pm -3.972 -0.288 1.050
Pm -3.121 -5.840 2.614
Pm -5.616 -3.515 1.772
Pm -4.787 -8.816 3.453
CELL_PARAMETERS angstrom
-3.698 1.034 5.081
-5.846 -2.126 -3.822
1.717 -10.989 3.486
```

Output
Offset from the most stable computed form   0.000 eV per atom
Formation energy   0.01 eV per atom
Total moment   0.0 μB/cell
Calculated total energy   -4.36 eV/atom